Computed, not measured: crystalline LaZr2Ni at its relaxed geometry at the GGA-PBEsol level of DFT.

Structure (POSCAR):
```
LaZr2Ni
1.0
-0.212 -0.861 3.189
5.342 0.342 0.448
-2.824 4.978 -0.561
Ni La Zr
1 1 2
direct
0.261 0.883 0.522
0.548 0.492 0.096
0.949 0.894 0.898
0.742 0.232 0.484
```

The formation energy from the elements comes out at -0.2 kcal/mol of atoms. The calculation puts the final energy at -7.43 eV per atom.